# Sr2MnGe4Ir3

Sr2MnGe4Ir3 after structural relaxation (PBE, Alexandria).

Output
DFT total energy: -62.61 eV/f.u.
Energy of formation: -5.0 eV per formula unit
Magnetization: 2.61 μB/f.u.

Cell: 4.301 4.301 10.464 Å, 90.00 90.00 90.00°
Fractional positions:
Sr (0.000, 0.500, 0.248)
Sr (0.500, 0.000, 0.752)
Mn (0.000, 0.000, 0.500)
Ge (0.000, 0.000, 0.000)
Ge (0.000, 0.500, 0.630)
Ge (0.500, 0.000, 0.370)
Ge (0.500, 0.500, 0.000)
Ir (0.000, 0.500, 0.876)
Ir (0.500, 0.000, 0.124)
Ir (0.500, 0.500, 0.500)

# CaTb3Pr6

CaTb3Pr6 after structural relaxation (PBE, Alexandria).

Output
DFT total energy: -44.10 eV/f.u.
Energy of formation: 0.5 eV per formula unit
Magnetization: 0.00 μB/f.u.

Cell: 11.744 3.630 16.683 Å, 90.00 90.19 90.00°
Fractional positions:
Ca (0.126, 0.250, 0.460)
Ca (0.874, 0.750, 0.540)
Tb (0.130, 0.250, 0.855)
Tb (0.371, 0.250, 0.150)
Tb (0.378, 0.250, 0.348)
Tb (0.622, 0.750, 0.652)
Tb (0.629, 0.750, 0.850)
Tb (0.870, 0.750, 0.145)
Pr (0.106, 0.250, 0.062)
Pr (0.132, 0.750, 0.672)
Pr (0.140, 0.750, 0.255)
Pr (0.365, 0.750, 0.958)
Pr (0.379, 0.750, 0.539)
Pr (0.392, 0.250, 0.751)
Pr (0.608, 0.750, 0.249)
Pr (0.621, 0.250, 0.461)
Pr (0.635, 0.250, 0.042)
Pr (0.860, 0.250, 0.745)
Pr (0.868, 0.250, 0.328)
Pr (0.894, 0.750, 0.938)